DFT (PBE) results for crystalline SiPb4S6 at its relaxed geometry.

Structure (POSCAR):
```
SiPb4S6
1.0
7.119 0.000 2.149
3.327 7.727 1.842
0.208 -0.377 12.175
Pb S Si
8 12 2
direct
0.647 0.281 0.799
0.711 0.235 0.475
0.273 0.781 0.299
0.579 0.735 0.975
0.704 0.156 0.161
0.979 0.656 0.661
0.090 0.448 0.158
0.305 0.948 0.658
0.972 0.635 0.431
0.380 0.163 0.988
0.963 0.135 0.931
0.724 0.781 0.209
0.602 0.647 0.767
0.902 0.018 0.640
0.470 0.663 0.488
0.007 0.546 0.935
0.513 0.046 0.435
0.285 0.281 0.709
0.984 0.147 0.267
0.440 0.518 0.140
0.150 0.279 0.891
0.680 0.779 0.391
```

Summary:
The total energy is -101.83 eV/cell.



DFT (PBE) results for crystalline MoWI2Cl at its relaxed geometry.

Structure (POSCAR):
```
MoWI2Cl
1.0
5.722 0.000 0.000
0.000 4.528 0.000
0.000 0.000 5.722
I W Mo Cl
2 1 1 1
direct
0.000 0.000 0.500
0.500 0.000 0.000
0.000 0.000 0.000
0.500 0.500 0.500
0.000 0.500 0.000
```

Summary:
The total energy is -22.81 eV/cell.



DFT (PBE) results for crystalline CuRu2W at its relaxed geometry.

Structure (POSCAR):
```
CuRu2W
1.0
2.726 0.000 0.000
0.000 2.726 0.000
0.000 0.000 7.620
Ru W Cu
2 1 1
direct
0.000 0.000 0.002
0.500 0.500 0.231
0.000 0.000 0.511
0.500 0.500 0.756
```

Summary:
The value obtained for the energy relative to the elements is 0.2132 eV/atom. The calculation puts the excess energy over the best structure of this formula in the dataset at 139 meV/atom.



DFT (PBE) results for crystalline CaInBr2 at its relaxed geometry.

Structure (POSCAR):
```
CaInBr2
1.0
-2.661 4.218 -6.753
-3.688 0.902 2.017
8.802 9.996 11.621
Ca In Br
4 4 8
direct
0.554 0.000 0.111
0.554 0.500 0.611
0.036 0.500 0.064
0.036 0.000 0.564
0.300 0.000 0.842
0.300 0.500 0.342
0.522 0.000 0.461
0.522 0.500 0.961
0.440 0.000 0.688
0.181 0.000 0.001
0.181 0.500 0.501
0.933 0.500 0.651
0.933 0.000 0.151
0.778 0.500 0.900
0.778 0.000 0.400
0.440 0.500 0.188
```

Summary:
The calculation puts the excess energy over the best structure of this formula in the dataset at 53 meV/atom.



DFT (PBE) results for crystalline Nd2CoH at its relaxed geometry.

Structure (POSCAR):
```
Nd2CoH
1.0
3.291 0.000 0.000
0.000 3.291 0.000
0.000 0.000 7.067
Nd Co H
2 1 1
direct
0.000 0.000 0.748
0.000 0.000 0.252
0.500 0.500 0.500
0.500 0.500 0.000
```

Summary:
The calculation puts the excess energy over the best structure of this formula in the dataset at 162 meV/atom.



DFT (PBE) results for crystalline Tl2MoBr at its relaxed geometry.

Structure (POSCAR):
```
Tl2MoBr
1.0
7.807 0.003 -0.002
7.160 3.111 -0.002
1.362 0.283 4.395
Br Tl Mo
1 2 1
direct
0.750 0.750 0.750
0.932 0.932 0.068
0.568 0.568 0.432
0.250 0.250 0.250
```

Summary:
The calculation puts the excess energy over the best structure of this formula in the dataset at 243 meV/atom.



DFT (PBE) results for crystalline Be2AgCl at its relaxed geometry.

Structure (POSCAR):
```
Be2AgCl
1.0
-2.669 -2.136 -2.957
-2.887 -3.460 -0.347
-6.855 0.285 -0.429
Be Ag Cl
2 1 1
direct
0.047 0.047 0.101
0.453 0.453 0.399
0.250 0.250 0.250
0.750 0.750 0.750
```

Summary:
The calculation puts the excess energy over the best structure of this formula in the dataset at 91 meV/atom.



DFT (PBE) results for crystalline Dy2Tm8Mg at its relaxed geometry.

Structure (POSCAR):
```
Dy2Tm8Mg
1.0
5.472 0.000 0.000
0.000 6.184 1.308
-2.736 -1.177 9.484
Tm Dy Mg
8 2 1
direct
0.339 0.127 0.677
0.152 0.191 0.304
0.848 0.809 0.696
0.046 0.735 0.093
0.661 0.873 0.323
0.954 0.265 0.907
0.579 0.405 0.158
0.421 0.595 0.842
0.243 0.666 0.487
0.757 0.334 0.513
0.500 0.000 0.000
```

Summary:
The value obtained for the energy relative to the elements is 0.0359 eV/atom. The calculation puts the excess energy over the best structure of this formula in the dataset at 0 meV/atom.



Number 1: density of states at the Fermi level 0.00 states/eV per atom. Number 2: density of states at the Fermi level 0.85 states/eV per atom. Number 3: density of states at the Fermi level 0.84 states/eV per atom. Number 4: density of states at the Fermi level 0.25 states/eV per atom. Number 5: density of states at the Fermi level 0.87 states/eV per atom. Number 6: density of states at the Fermi level 0.58 states/eV per atom. Number 7: density of states at the Fermi level 0.40 states/eV per atom. Number 8: density of states at the Fermi level 1.54 states/eV per atom.